1.
Below is a relaxed structure of CaNi5As2, with properties calculated at the PBE level.

Cell: 3.738 6.716 9.129 Å, 90.00 90.00 90.00°
Space group Immm (No. 71)
Asymmetric unit:
Ca  0.000  0.000  0.000
Ni  0.000  0.185  0.354
Ni  0.000  0.500  0.000
As  0.000  0.500  0.251

Summary:
Calculated formation energy ... -9.38 kcal/mol of atoms
Mass density ... 7.00 g/cm³

=====

2.
Below is a relaxed structure of Ni2Rh6W3, with properties calculated at the PBE level.

Cell: 3.816 6.112 7.172 Å, 75.15 74.58 89.99°
Space group P-1 (No. 2)
Asymmetric unit:
Ni  0.184  0.415  0.135
Rh  0.098  0.950  0.304
Rh  0.356  0.319  0.785
Rh  0.453  0.767  0.593
W  0.000  0.500  0.500
W  0.278  0.846  0.947

Summary:
Calculated formation energy ... -2.85 kcal/mol of atoms
Mass density ... 13.74 g/cm³

=====

3.
Below is a relaxed structure of Zn2CoReAg, with properties calculated at the PBE level.

Cell: 4.874 4.874 4.411 Å, 90.00 90.00 90.00°
Space group P4/mmm (No. 123)
Asymmetric unit:
Zn  0.000  0.500  0.000
Co  0.000  0.000  0.500
Re  0.000  0.000  0.000
Ag  0.500  0.500  0.500

Summary:
Calculated formation energy ... 26.63 kcal/mol of atoms
Mass density ... 7.67 g/cm³

=====

4.
Below is a relaxed structure of CsZr3Tc, with properties calculated at the PBE level.

Cell: 5.144 5.144 5.144 Å, 90.00 90.00 90.00°
Space group Pm-3m (No. 221)
Asymmetric unit:
Cs  0.000  0.000  0.000
Zr  0.000  0.000  0.500
Tc  0.500  0.500  0.500

Summary:
Calculated formation energy ... 57.55 kcal/mol of atoms
Mass density ... 6.16 g/cm³